# 1
First-principles (PBE) data for a relaxed Ac2TcNiGe6 crystal, as listed in Alexandria via LeMat-Bulk.

Structure (extended XYZ):
```
20
Lattice="6.5666 0.0000 0.0000 0.0000 9.0888 0.0000 0.0000 0.0000 7.2480" Properties=species:S:1:pos:R:3 pbc="T T T"
Ac 1.6416 0.0878 1.7788
Ac 1.6416 4.4566 1.7788
Ac 4.9249 4.6322 5.4692
Ac 4.9249 9.0010 5.4692
Tc 1.6416 6.8166 6.5008
Tc 4.9249 2.2722 0.7472
Ni 1.6416 2.2722 4.5733
Ni 4.9249 6.8166 2.6747
Ge 0.3741 6.8166 4.0337
Ge 0.3919 2.2722 6.7200
Ge 1.6416 4.6428 5.1800
Ge 1.6416 8.9904 5.1800
Ge 2.8914 2.2722 6.7200
Ge 2.9092 6.8166 4.0337
Ge 3.6574 2.2722 3.2143
Ge 3.6752 6.8166 0.5281
Ge 4.9249 0.0984 2.0680
Ge 4.9249 4.4460 2.0680
Ge 6.1747 6.8166 0.5281
Ge 6.1925 2.2722 3.2143
```

N(E_F): 10.25 states/eV/cell
energy of formation: -0.40 eV/atom
total magnetization: 0.00 μB per formula unit
electronic total energy: -112.2 eV/cell

# 2
First-principles (PBE) data for a relaxed AcTcNiGe3 crystal, as listed in Alexandria via LeMat-Bulk.

Structure (extended XYZ):
```
12
Lattice="3.3535 -5.9541 0.0000 3.3535 5.9541 0.0000 0.0000 0.0000 6.3071" Properties=species:S:1:pos:R:3 pbc="T T T"
Ac 3.3535 2.9900 4.7303
Ac 3.3535 -2.9900 1.5768
Tc 3.3535 5.4637 1.5768
Tc 3.3535 -5.4637 4.7303
Ni 3.3535 0.9376 1.5768
Ni 3.3535 -0.9376 4.7303
Ge 3.3535 3.1338 1.5768
Ge 1.8776 0.0000 0.0000
Ge 1.8776 0.0000 3.1536
Ge 4.8293 0.0000 0.0000
Ge 4.8293 0.0000 3.1536
Ge 3.3535 -3.1338 4.7303
```

N(E_F): 6.57 states/eV/cell
energy of formation: -0.28 eV/atom
total magnetization: 0.00 μB per formula unit
electronic total energy: -71.6 eV/cell

Please write out number 2 again, unchanged.
First-principles (PBE) data for a relaxed AcTcNiGe3 crystal, as listed in Alexandria via LeMat-Bulk.

Structure (extended XYZ):
```
12
Lattice="3.3535 -5.9541 0.0000 3.3535 5.9541 0.0000 0.0000 0.0000 6.3071" Properties=species:S:1:pos:R:3 pbc="T T T"
Ac 3.3535 2.9900 4.7303
Ac 3.3535 -2.9900 1.5768
Tc 3.3535 5.4637 1.5768
Tc 3.3535 -5.4637 4.7303
Ni 3.3535 0.9376 1.5768
Ni 3.3535 -0.9376 4.7303
Ge 3.3535 3.1338 1.5768
Ge 1.8776 0.0000 0.0000
Ge 1.8776 0.0000 3.1536
Ge 4.8293 0.0000 0.0000
Ge 4.8293 0.0000 3.1536
Ge 3.3535 -3.1338 4.7303
```

N(E_F): 6.57 states/eV/cell
energy of formation: -0.28 eV/atom
total magnetization: 0.00 μB per formula unit
electronic total energy: -71.6 eV/cell

What is the energy of formation in the second record?
-0.28 eV/atom

What is the electronic total energy in the first record?
-112.2 eV/cell